[1]
This record from the Alexandria database describes Ta3NbP after structural relaxation. The functional is PBE.

a b c (Å): 4.590 4.590 4.590
angles (deg): 90.00 90.00 90.00
Fractional coordinates of all 5 atoms:
Ta (0.000, 0.000, 0.500)
Ta (0.000, 0.500, 0.000)
Ta (0.500, 0.000, 0.000)
Nb (0.500, 0.500, 0.500)
P (0.000, 0.000, 0.000)

Crystal system: cubic
Magnetic moment (μB/f.u.): 0.0
Energy above the lowest structure with this stoichiometry (meV per atom): 674.1
Theoretical density (g cm⁻³): 11.5
E_form (eV per atom): 0.31

[2]
This record from the Alexandria database describes Ta3NbP after structural relaxation. The functional is PBE.

a b c (Å): 4.867 4.867 4.867
angles (deg): 90.00 90.00 90.00
Fractional coordinates of all 5 atoms:
Ta (0.000, 0.000, 0.500)
Ta (0.000, 0.500, 0.000)
Ta (0.500, 0.000, 0.000)
Nb (0.000, 0.000, 0.000)
P (0.500, 0.500, 0.500)

Crystal system: cubic
Magnetic moment (μB/f.u.): 0.0
Energy above the lowest structure with this stoichiometry (meV per atom): 2190.7
Theoretical density (g cm⁻³): 9.6
E_form (eV per atom): 1.82

[3]
This record from the Alexandria database describes Ta3NbP after structural relaxation. The functional is PBE.

a b c (Å): 7.535 5.258 8.963
angles (deg): 90.00 107.40 90.00
Fractional coordinates of all 20 atoms:
Ta (0.001, 0.007, 0.172)
Ta (0.001, 0.493, 0.672)
Ta (0.189, 0.000, 0.547)
Ta (0.189, 0.500, 0.047)
Ta (0.372, 0.733, 0.845)
Ta (0.372, 0.767, 0.345)
Ta (0.628, 0.233, 0.655)
Ta (0.628, 0.267, 0.155)
Ta (0.811, 0.000, 0.453)
Ta (0.811, 0.500, 0.953)
Ta (0.999, 0.507, 0.328)
Ta (0.999, 0.993, 0.828)
Nb (0.381, 0.236, 0.843)
Nb (0.381, 0.264, 0.343)
Nb (0.619, 0.736, 0.657)
Nb (0.619, 0.764, 0.157)
P (0.288, 0.000, 0.073)
P (0.288, 0.500, 0.573)
P (0.712, 0.000, 0.927)
P (0.712, 0.500, 0.427)

Crystal system: monoclinic
Magnetic moment (μB/f.u.): 0.0
Energy above the lowest structure with this stoichiometry (meV per atom): 0.0
Theoretical density (g cm⁻³): 13.1
E_form (eV per atom): -0.37